[1]
SrCoTc | Alexandria | PBE-GGA | relaxed; total magnetization = 0.00 μB per formula unit; energy relative to the lowest polymorph listed for this composition = 0.1537 eV per atom; formation enthalpy at 0 K = 1.28 eV/f.u.
1.0
-4.0023 2.8591 -5.5404
2.3741 -1.9541 -2.7235
-5.2042 -6.7254 0.2888
Sr Co Tc
4 4 4
direct
0.0017 0.2500 0.8147 Sr
0.4983 0.7500 0.3147 Sr
0.9983 0.7500 0.1853 Sr
0.5017 0.2500 0.6853 Sr
0.1661 0.2500 0.4322 Co
0.3339 0.7500 0.9322 Co
0.8339 0.7500 0.5678 Co
0.6661 0.2500 0.0678 Co
0.8556 0.2500 0.4442 Tc
0.6444 0.7500 0.9442 Tc
0.1444 0.7500 0.5558 Tc
0.3556 0.2500 0.0558 Tc

[2]
Pr12Sm6Ho | Alexandria | PBE-GGA | relaxed; total magnetization = 0.00 μB per formula unit; energy relative to the lowest polymorph listed for this composition = 0.1782 eV per atom; formation enthalpy at 0 K = 5.76 eV/f.u.
1.0
-4.8905 7.0089 -5.1485
4.2609 -6.7394 -5.9978
-5.7973 -4.2851 6.8976
Pr Sm Ho
12 6 1
direct
0.8804 0.1196 0.5000 Pr
0.2737 0.9148 0.2737 Pr
0.2737 0.2737 0.9148 Pr
0.0852 0.7263 0.7263 Pr
0.7263 0.7263 0.0852 Pr
0.7263 0.0852 0.7263 Pr
0.5000 0.8804 0.1196 Pr
0.1196 0.5000 0.8804 Pr
0.1196 0.8804 0.5000 Pr
0.5000 0.1196 0.8804 Pr
0.8804 0.5000 0.1196 Pr
0.9148 0.2737 0.2737 Pr
0.7277 0.4786 0.7277 Sm
0.7277 0.7277 0.4786 Sm
0.4786 0.7277 0.7277 Sm
0.2723 0.2723 0.5214 Sm
0.2723 0.5214 0.2723 Sm
0.5214 0.2723 0.2723 Sm
0.0000 0.0000 0.0000 Ho

[3]
Rb2NiPb2 | Alexandria | PBE-GGA | relaxed; total magnetization = 0.00 μB per formula unit; energy relative to the lowest polymorph listed for this composition = 0.6289 eV per atom; formation enthalpy at 0 K = 3.94 eV/f.u.
1.0
4.4691 0.0000 0.0000
0.0000 4.4691 0.0000
2.2346 2.2346 8.5468
Pb Ni Rb
2 1 2
direct
0.4171 0.4171 0.1658 Pb
0.5829 0.5829 0.8342 Pb
0.0000 0.0000 0.0000 Ni
0.7500 0.2500 0.5000 Rb
0.2500 0.7500 0.5000 Rb

[4]
CaAsSe2 | Alexandria | PBE-GGA | relaxed; total magnetization = 0.00 μB per formula unit; E_form (uncorrected) = -902 meV per atom
1.0
-4.0835 0.1848 -4.1692
-5.4056 -1.8990 -1.1245
-1.6515 3.6508 1.7788
As Ca Se
1 1 2
direct
0.5042 0.5042 0.6249 As
0.2769 0.2769 0.1251 Ca
0.9946 0.9946 0.1248 Se
0.7243 0.7243 0.6251 Se

[5]
Na2Sr3RuO6 | Alexandria | PBE-GGA | relaxed; total magnetization = 2.00 μB per formula unit; E_form (uncorrected) = -1904 meV per atom
1.0
6.1236 0.0031 -0.0209
-3.0576 5.3056 -0.0209
-1.0412 -1.8029 5.3595
Na Sr Ru O
2 3 1 6
direct
0.3312 0.6688 0.0000 Na
0.6688 0.3312 0.0000 Na
0.1725 0.8275 0.5000 Sr
0.8275 0.1725 0.5000 Sr
0.5000 0.5000 0.5000 Sr
0.0000 0.0000 0.0000 Ru
0.9275 0.6319 0.7736 O
0.7953 0.7953 0.2138 O
0.0725 0.3681 0.2264 O
0.6319 0.9275 0.7736 O
0.2047 0.2047 0.7862 O
0.3681 0.0725 0.2264 O

[6]
Ca2Mg2Zn | Alexandria | PBE-GGA | relaxed; total magnetization = 0.00 μB per formula unit; energy relative to the lowest polymorph listed for this composition = 0.1962 eV per atom; formation enthalpy at 0 K = 0.34 eV/f.u.
1.0
-1.2609 -0.9066 3.6957
3.6027 -1.5378 0.8519
4.0166 7.1155 5.2900
Mg Zn Ca
2 1 2
direct
0.7500 0.2500 0.5000 Mg
0.2500 0.7500 0.5000 Mg
0.0000 0.0000 0.0000 Zn
0.4066 0.4066 0.1868 Ca
0.5934 0.5934 0.8132 Ca

no.,D(E_F) (states/eV per cell)
1,8.178
2,31.437
3,2.738
4,1.013
5,3.481
6,2.947